VASP calculation (GGA-PBE) on a geometry-optimized Sc4Zn3Si structure.

The structure in POSCAR format:
```
Sc4Zn3Si
1.0
2.348 1.356 7.690
-2.348 1.356 7.690
0.000 -2.712 7.690
Sc Zn Si
4 3 1
direct
0.122 0.122 0.122
0.373 0.373 0.373
0.627 0.627 0.627
0.878 0.878 0.878
0.244 0.244 0.244
0.500 0.500 0.500
0.756 0.756 0.756
0.000 0.000 0.000
```

The volume is 146.90 Å³/cell. Its total energy is -38.22 eV/cell. The calculation puts the energy relative to the elements, uncorrected at -456 meV/atom. The crystal system is trigonal.